# KYIn

A geometry-optimized KYIn structure (PBE, Alexandria via LeMat-Bulk).

a b c (Å): 8.238 8.238 3.797
angles (deg): 76.68 76.67 26.65
Last column: magnetic moment on the atom in μB.
Fractional positions:
K (0.352, 0.352, 0.648)  0.00
In (0.022, 0.022, 0.978)  0.00
Y (0.626, 0.626, 0.374)  0.08

## Properties
Energy = -3.430 eV per atom
Energy relative to the lowest polymorph listed for this composition = 0 meV/atom
Formation energy = 3 meV per atom
Calculated volume = 37.44 Å³/atom



# PmLuBeRu

A geometry-optimized PmLuBeRu structure (PBE, Alexandria via LeMat-Bulk).

a b c (Å): 4.846 4.846 4.846
angles (deg): 60.00 60.00 60.00
Fractional positions:
Pm (0.500, 0.500, 0.500)
Be (0.250, 0.250, 0.250)
Ru (0.750, 0.750, 0.750)
Lu (0.000, 0.000, 0.000)

## Properties
Energy = -5.665 eV per atom
Formation energy = -96 meV per atom
Calculated volume = 20.12 Å³/atom



# La3ThNi2

A geometry-optimized La3ThNi2 structure (PBE, Alexandria via LeMat-Bulk).

a b c (Å): 4.725 5.088 7.816
angles (deg): 108.85 107.59 90.00
Fractional positions:
La (0.801, 0.301, 0.602)
La (0.199, 0.699, 0.398)
La (0.500, 0.500, 0.000)
Th (0.000, 0.000, 0.000)
Ni (0.608, 0.107, 0.216)
Ni (0.392, 0.893, 0.784)

## Properties
Energy = -5.769 eV per atom
Formation energy = -141 meV per atom
Calculated volume = 28.09 Å³/atom